No. 1
Computed, not measured: DyYLuMg after structural relaxation at the GGA-PBE level of DFT.

DOS at the Fermi energy: 16.515 states/eV per cell
formation enthalpy at 0 K: 0.027 eV per atom
mass density: 6.474 g cm⁻³

Geometry as CIF:
```
data_DyYLuMg
_chemical_formula_sum 'Dy4 Y4 Lu4 Mg4'
_symmetry_space_group_name_H-M 'F -4 3 m'
_symmetry_Int_Tables_number 216
_symmetry_space_group_name_Hall 'F -4 2 3'
_cell_length_a 7.733
_cell_length_b 7.733
_cell_length_c 7.733
_cell_angle_alpha 90.00
_cell_angle_beta 90.00
_cell_angle_gamma 90.00
loop_
_atom_site_label
_atom_site_type_symbol
_atom_site_fract_x
_atom_site_fract_y
_atom_site_fract_z
_atom_site_occupancy
Dy1 Dy 0.000 0.000 0.000 1
Y1 Y 0.000 0.000 0.500 1
Lu1 Lu 0.250 0.250 0.250 1
Mg1 Mg 0.250 0.250 0.750 1
```

No. 2
Computed, not measured: Ti2Ga2Cu7Pt after structural relaxation at the GGA-PBE level of DFT.

DOS at the Fermi energy: 15.258 states/eV per cell
formation enthalpy at 0 K: -0.075 eV per atom
mass density: 8.560 g cm⁻³

Geometry as CIF:
```
data_Ti2Ga2Cu7Pt
_chemical_formula_sum 'Ti4 Ga4 Cu14 Pt2'
_symmetry_space_group_name_H-M 'C 1 2/m 1'
_symmetry_Int_Tables_number 12
_symmetry_space_group_name_Hall '-C 2y'
_cell_length_a 5.086
_cell_length_b 5.086
_cell_length_c 13.367
_cell_angle_alpha 90.00
_cell_angle_beta 100.91
_cell_angle_gamma 90.00
loop_
_atom_site_label
_atom_site_type_symbol
_atom_site_fract_x
_atom_site_fract_y
_atom_site_fract_z
_atom_site_occupancy
Ti1 Ti 0.170 0.000 0.343 1
Ga1 Ga 0.138 0.500 0.278 1
Cu1 Cu 0.000 0.000 0.000 1
Cu2 Cu 0.176 0.250 0.851 1
Cu3 Cu 0.232 0.500 0.462 1
Pt1 Pt 0.000 0.500 0.000 1
```

No. 3
Computed, not measured: Al2CoSe after structural relaxation at the GGA-PBE level of DFT.

raw formation energy: 9 meV/atom
DOS at the Fermi energy: 8.182 states/eV per cell
mass density: 4.960 g cm⁻³

Geometry as CIF:
```
data_Al2CoSe
_chemical_formula_sum 'Al6 Co3 Se3'
_symmetry_space_group_name_H-M 'R 3 m'
_symmetry_Int_Tables_number 160
_symmetry_space_group_name_Hall 'R 3 -2"'
_cell_length_a 3.1583
_cell_length_b 3.1583
_cell_length_c 22.3059
_cell_angle_alpha 90.00
_cell_angle_beta 90.00
_cell_angle_gamma 120.00
loop_
_atom_site_label
_atom_site_type_symbol
_atom_site_fract_x
_atom_site_fract_y
_atom_site_fract_z
_atom_site_occupancy
Al1 Al 0.0000 0.0000 0.0000 1
Al2 Al 0.0000 0.0000 0.2379 1
Co1 Co 0.0000 0.0000 0.7443 1
Se1 Se 0.0000 0.0000 0.4798 1
```

No. 4
Computed, not measured: Sm2GaNi3 after structural relaxation at the GGA-PBE level of DFT.

DOS at the Fermi energy: 11.497 states/eV per cell
formation enthalpy at 0 K: -0.439 eV per atom
mass density: 7.937 g cm⁻³

Geometry as CIF:
```
data_Sm2GaNi3
_chemical_formula_sum 'Sm4 Ga2 Ni6'
_symmetry_space_group_name_H-M 'P 63/m m c'
_symmetry_Int_Tables_number 194
_symmetry_space_group_name_Hall '-P 6c 2c'
_cell_length_a 4.1120
_cell_length_b 4.1120
_cell_length_c 15.6166
_cell_angle_alpha 90.00
_cell_angle_beta 90.00
_cell_angle_gamma 120.00
loop_
_atom_site_label
_atom_site_type_symbol
_atom_site_fract_x
_atom_site_fract_y
_atom_site_fract_z
_atom_site_occupancy
Sm1 Sm 0.0000 0.0000 0.1202 1
Ga1 Ga 0.3333 0.6667 0.2500 1
Ni1 Ni 0.3333 0.6667 0.0013 1
Ni2 Ni 0.3333 0.6667 0.7500 1
```

No. 5
Computed, not measured: AcPrGa2Pd2 after structural relaxation at the GGA-PBE level of DFT.

DOS at the Fermi energy: 4.804 states/eV per cell
formation enthalpy at 0 K: -0.787 eV per atom
mass density: 8.428 g cm⁻³

Geometry as CIF:
```
data_AcPrGa2Pd2
_chemical_formula_sum 'Ac1 Pr1 Ga2 Pd2'
_symmetry_space_group_name_H-M 'P -3 m 1'
_symmetry_Int_Tables_number 164
_symmetry_space_group_name_Hall '-P 3 2"'
_cell_length_a 4.5333
_cell_length_b 4.5333
_cell_length_c 7.9726
_cell_angle_alpha 90.00
_cell_angle_beta 90.00
_cell_angle_gamma 120.00
loop_
_atom_site_label
_atom_site_type_symbol
_atom_site_fract_x
_atom_site_fract_y
_atom_site_fract_z
_atom_site_occupancy
Ac1 Ac 0.0000 0.0000 0.0000 1
Pr1 Pr 0.0000 0.0000 0.5000 1
Ga1 Ga 0.3333 0.6667 0.2720 1
Pd1 Pd 0.3333 0.6667 0.7356 1
```

No. 6
Computed, not measured: SiSnRuW2 after structural relaxation at the GGA-PBE level of DFT.

raw formation energy: 960 meV/atom
DOS at the Fermi energy: 5.594 states/eV per cell
mass density: 10.832 g cm⁻³

Geometry as CIF:
```
data_SiSnRuW2
_chemical_formula_sum 'Si1 Sn1 Ru1 W2'
_symmetry_space_group_name_H-M 'P 4/m m m'
_symmetry_Int_Tables_number 123
_symmetry_space_group_name_Hall '-P 4 2'
_cell_length_a 4.587
_cell_length_b 4.587
_cell_length_c 4.484
_cell_angle_alpha 90.00
_cell_angle_beta 90.00
_cell_angle_gamma 90.00
loop_
_atom_site_label
_atom_site_type_symbol
_atom_site_fract_x
_atom_site_fract_y
_atom_site_fract_z
_atom_site_occupancy
Si1 Si 0.000 0.000 0.000 1
Sn1 Sn 0.500 0.500 0.500 1
Ru1 Ru 0.000 0.000 0.500 1
W1 W 0.000 0.500 0.000 1
```

No. 7
Computed, not measured: ScPb after structural relaxation at the GGA-PBE level of DFT.

DOS at the Fermi energy: 3.009 states/eV per cell
formation enthalpy at 0 K: -0.317 eV per atom
mass density: 8.469 g cm⁻³

Geometry as CIF:
```
data_ScPb
_chemical_formula_sum 'Sc2 Pb2'
_symmetry_space_group_name_H-M 'C m m m'
_symmetry_Int_Tables_number 65
_symmetry_space_group_name_Hall '-C 2 2'
_cell_length_a 4.529
_cell_length_b 5.038
_cell_length_c 4.334
_cell_angle_alpha 90.00
_cell_angle_beta 90.00
_cell_angle_gamma 90.00
loop_
_atom_site_label
_atom_site_type_symbol
_atom_site_fract_x
_atom_site_fract_y
_atom_site_fract_z
_atom_site_occupancy
Sc1 Sc 0.000 0.000 0.000 1
Pb1 Pb 0.000 0.500 0.500 1
```

No. 8
Computed, not measured: PmSmMnHg after structural relaxation at the GGA-PBE level of DFT.

DOS at the Fermi energy: 19.884 states/eV per cell
formation enthalpy at 0 K: -0.063 eV per atom
mass density: 8.831 g cm⁻³

Geometry as CIF:
```
data_PmSmMnHg
_chemical_formula_sum 'Pm4 Sm4 Mn4 Hg4'
_symmetry_space_group_name_H-M 'F -4 3 m'
_symmetry_Int_Tables_number 216
_symmetry_space_group_name_Hall 'F -4 2 3'
_cell_length_a 7.455
_cell_length_b 7.455
_cell_length_c 7.455
_cell_angle_alpha 90.00
_cell_angle_beta 90.00
_cell_angle_gamma 90.00
loop_
_atom_site_label
_atom_site_type_symbol
_atom_site_fract_x
_atom_site_fract_y
_atom_site_fract_z
_atom_site_occupancy
Pm1 Pm 0.000 0.000 0.000 1
Sm1 Sm 0.000 0.000 0.500 1
Mn1 Mn 0.250 0.250 0.750 1
Hg1 Hg 0.250 0.250 0.250 1
```

No. 9
Computed, not measured: AcTlBiO5 after structural relaxation at the GGA-PBE level of DFT.

raw formation energy: -1586 meV/atom
DOS at the Fermi energy: 9.103 states/eV per cell
mass density: 8.375 g cm⁻³

Geometry as CIF:
```
data_AcTlBiO5
_chemical_formula_sum 'Ac4 Tl4 Bi4 O20'
_symmetry_space_group_name_H-M 'C 1 2/c 1'
_symmetry_Int_Tables_number 15
_symmetry_space_group_name_Hall '-C 2yc'
_cell_length_a 7.466
_cell_length_b 10.344
_cell_length_c 8.148
_cell_angle_alpha 90.00
_cell_angle_beta 114.79
_cell_angle_gamma 90.00
loop_
_atom_site_label
_atom_site_type_symbol
_atom_site_fract_x
_atom_site_fract_y
_atom_site_fract_z
_atom_site_occupancy
Ac1 Ac 0.000 0.175 0.250 1
Tl1 Tl 0.000 0.180 0.750 1
Bi1 Bi 0.000 0.500 0.000 1
O1 O 0.000 0.421 0.250 1
O2 O 0.110 0.291 0.587 1
O3 O 0.180 0.030 0.930 1
```

No. 10
Computed, not measured: K2ZrFe after structural relaxation at the GGA-PBE level of DFT.

DOS at the Fermi energy: 27.252 states/eV per cell
formation enthalpy at 0 K: 1.623 eV per atom
mass density: 2.745 g cm⁻³
polymorph energy (0 for the lowest one): 103.2 kJ per mole of atoms

Geometry as CIF:
```
data_K2ZrFe
_chemical_formula_sum 'K8 Zr4 Fe4'
_symmetry_space_group_name_H-M 'F m -3 m'
_symmetry_Int_Tables_number 225
_symmetry_space_group_name_Hall '-F 4 2 3'
_cell_length_a 8.169
_cell_length_b 8.169
_cell_length_c 8.169
_cell_angle_alpha 90.00
_cell_angle_beta 90.00
_cell_angle_gamma 90.00
loop_
_atom_site_label
_atom_site_type_symbol
_atom_site_fract_x
_atom_site_fract_y
_atom_site_fract_z
_atom_site_occupancy
K1 K 0.250 0.250 0.250 1
Zr1 Zr 0.000 0.000 0.000 1
Fe1 Fe 0.000 0.000 0.500 1
```

No. 11
Computed, not measured: Ca3Cr5N12 after structural relaxation at the GGA-PBE level of DFT.

raw formation energy: -304 meV/atom
DOS at the Fermi energy: 63.964 states/eV per cell
mass density: 3.852 g cm⁻³

Geometry as CIF:
```
data_Ca3Cr5N12
_chemical_formula_sum 'Ca24 Cr40 N96'
_symmetry_space_group_name_H-M 'I a -3 d'
_symmetry_Int_Tables_number 230
_symmetry_space_group_name_Hall '-I 4bd 2c 3'
_cell_length_a 12.365
_cell_length_b 12.365
_cell_length_c 12.365
_cell_angle_alpha 90.00
_cell_angle_beta 90.00
_cell_angle_gamma 90.00
loop_
_atom_site_label
_atom_site_type_symbol
_atom_site_fract_x
_atom_site_fract_y
_atom_site_fract_z
_atom_site_occupancy
Ca1 Ca 0.000 0.250 0.125 1
Cr1 Cr 0.000 0.000 0.000 1
Cr2 Cr 0.000 0.250 0.375 1
N1 N 0.039 0.041 0.646 1
```

- Which value of DOS at the Fermi energy does entry 10 give?
  27.252 states/eV per cell

- Which of these has the highest DOS at the Fermi energy?
  Ca3Cr5N12

- Among the records above, which one has the lowest DOS at the Fermi energy?
  ScPb

- Which value of mass density does entry 1 give?
  6.474 g cm⁻³